The following is a PBE-GGA calculation of crystalline LiPm4In3 at its relaxed geometry, from Alexandria.

Results
E in eV per atom: -4.03

abc: 5.343 5.343 8.769
angles: 107.76 107.76 90.03
Element x y z (fractional)
1 In 0.000 0.500 0.000
2 In 0.253 0.753 0.507
3 In 0.747 0.247 0.493
4 Pm 0.875 0.875 0.750
5 Pm 0.125 0.125 0.250
6 Pm 0.625 0.625 0.250
7 Pm 0.375 0.375 0.750
8 Li 0.500 0.000 0.000

The following is a PBE-GGA calculation of crystalline LiPmIn2 at its relaxed geometry, from Alexandria.

Results
E in eV per atom: -3.43

abc: 5.207 5.207 5.207
angles: 60.00 60.00 60.00
Element x y z (fractional)
1 In 0.500 0.500 0.500
2 In 0.000 0.000 0.000
3 Li 0.750 0.750 0.750
4 Pm 0.250 0.250 0.250

The following is a PBE-GGA calculation of crystalline LiPm6In2 at its relaxed geometry, from Alexandria.

Results
E in eV per atom: -4.16

abc: 3.686 9.237 9.240
angles: 119.99 90.00 90.00
Element x y z (fractional)
1 Li 0.500 0.000 0.000
2 Pm 0.000 0.286 0.000
3 Pm 0.500 0.388 0.388
4 Pm 0.500 0.612 0.000
5 Pm 0.000 0.714 0.714
6 Pm 0.500 0.000 0.612
7 Pm 0.000 0.000 0.286
8 In 0.000 0.333 0.667
9 In 0.000 0.667 0.333

The following is a PBE-GGA calculation of crystalline LiPm2In8 at its relaxed geometry, from Alexandria.

Results
E in eV per atom: -3.40

abc: 4.724 4.724 12.404
angles: 90.00 90.00 90.00
Element x y z (fractional)
1 In 0.500 0.000 0.874
2 In 0.000 0.500 0.126
3 In 0.500 0.000 0.500
4 In 0.000 0.500 0.500
5 In 0.500 0.500 0.310
6 In 0.500 0.000 0.126
7 In 0.500 0.500 0.690
8 In 0.000 0.500 0.874
9 Li 0.000 0.000 0.000
10 Pm 0.000 0.000 0.688
11 Pm 0.000 0.000 0.312

The following is a PBE-GGA calculation of crystalline Li2Pm2In5 at its relaxed geometry, from Alexandria.

Results
E in eV per atom: -3.35

abc: 4.711 4.711 9.677
angles: 90.00 90.00 90.00
Element x y z (fractional)
1 Pm 0.000 0.000 0.500
2 Pm 0.000 0.000 0.000
3 Li 0.500 0.500 0.118
4 Li 0.500 0.500 0.882
5 In 0.000 0.500 0.253
6 In 0.500 0.000 0.253
7 In 0.500 0.500 0.500
8 In 0.500 0.000 0.747
9 In 0.000 0.500 0.747

The following is a PBE-GGA calculation of crystalline Li2Pm3In3 at its relaxed geometry, from Alexandria.

Results
E in eV per atom: -3.66

abc: 4.689 4.953 9.172
angles: 105.78 104.81 90.00
Element x y z (fractional)
1 Pm 0.142 0.642 0.284
2 Pm 0.858 0.358 0.716
3 Pm 0.000 0.000 0.000
4 In 0.650 0.149 0.299
5 In 0.350 0.851 0.701
6 In 0.500 0.500 0.000
7 Li 0.242 0.243 0.485
8 Li 0.758 0.757 0.515